Record 1
Entry from Alexandria via LeMat-Bulk: ZnAg3Sn after structural relaxation (PBE-GGA).

Values from the calculation:
The value obtained for the formation enthalpy at 0 K is 3.03 eV/f.u. The value obtained for the mass density is 5.8 g cm⁻³.

Cell: 5.268 5.268 5.268 Å, 90.00 90.00 90.00°
Space group Pm-3m (No. 221)
One atom of each set of equivalent atoms:
Zn: 0.000 0.000 0.000
Ag: 0.000 0.500 0.500
Sn: 0.500 0.500 0.500

***

Record 2
Entry from Alexandria via LeMat-Bulk: PmNbAlIr2 after structural relaxation (PBE-GGA).

Values from the calculation:
The value obtained for the formation enthalpy at 0 K is -3.66 eV/f.u. The value obtained for the mass density is 10.9 g cm⁻³.

Cell: 4.179 4.179 11.304 Å, 90.00 90.00 90.00°
Space group I-4m2 (No. 119)
One atom of each set of equivalent atoms:
Pm: 0.000 0.000 0.000
Nb: 0.000 0.500 0.750
Al: 0.000 0.500 0.250
Ir: 0.000 0.000 0.386

***

Record 3
Entry from Alexandria via LeMat-Bulk: Ti8Sb2Os after structural relaxation (PBE-GGA).

Values from the calculation:
The value obtained for the mass density is 6.9 g cm⁻³. The total energy comes out at -7.853 eV per atom.

Cell: 4.600 6.269 13.580 Å, 90.00 90.00 90.00°
Space group Immm (No. 71)
One atom of each set of equivalent atoms:
Ti: 0.000 0.000 0.172
Ti: 0.000 0.242 0.000
Ti: 0.000 0.247 0.357
Sb: 0.000 0.500 0.181
Os: 0.000 0.500 0.500

***

Record 4
Entry from Alexandria via LeMat-Bulk: Nd3YPb2 after structural relaxation (PBE-GGA).

Values from the calculation:
The value obtained for the formation enthalpy at 0 K is -2.66 eV/f.u. The value obtained for the mass density is 8.0 g cm⁻³.

Cell: 4.679 4.679 8.858 Å, 90.00 90.00 90.00°
Space group P-4m2 (No. 115)
One atom of each set of equivalent atoms:
Nd: 0.000 0.000 0.000
Nd: 0.000 0.500 0.653
Y: 0.500 0.500 0.000
Pb: 0.000 0.500 0.280

***

Record 5
Entry from Alexandria via LeMat-Bulk: BaNaRu2Pb after structural relaxation (PBE-GGA).

Values from the calculation:
The value obtained for the formation enthalpy at 0 K is 6.69 eV/f.u. The value obtained for the mass density is 7.1 g cm⁻³.

Cell: 5.045 5.045 5.215 Å, 90.00 90.00 90.00°
Space group P4/mmm (No. 123)
One atom of each set of equivalent atoms:
Ba: 0.000 0.000 0.000
Na: 0.500 0.500 0.500
Ru: 0.000 0.500 0.500
Pb: 0.500 0.500 0.000

***

Record 6
Entry from Alexandria via LeMat-Bulk: Li5AlHg2 after structural relaxation (PBE-GGA).

Values from the calculation:
The value obtained for the formation enthalpy at 0 K is -1.94 eV/f.u. The value obtained for the mass density is 5.5 g cm⁻³.

Cell: 4.790 4.790 12.192 Å, 90.00 90.00 90.00°
Space group I4/mmm (No. 139)
One atom of each set of equivalent atoms:
Li: 0.000 0.000 0.000
Li: 0.000 0.500 0.125
Al: 0.000 0.000 0.500
Hg: 0.000 0.000 0.253

***

Record 7
Entry from Alexandria via LeMat-Bulk: YEr2Tm3Bi6 after structural relaxation (PBE-GGA).

Values from the calculation:
The value obtained for the formation enthalpy at 0 K is -9.74 eV/f.u. The value obtained for the mass density is 9.7 g cm⁻³.

Cell: 19.376 4.445 8.894 Å, 90.00 103.19 90.00°
Space group C2/m (No. 12)
One atom of each set of equivalent atoms:
Y: 0.000 0.000 0.000
Er: 0.167 0.500 0.333
Tm: 0.000 0.000 0.500
Tm: 0.166 0.500 0.833
Bi: 0.000 0.500 0.253
Bi: 0.166 0.000 0.584
Bi: 0.168 0.000 0.083

***

Record 8
Entry from Alexandria via LeMat-Bulk: NdPu2Hg after structural relaxation (PBE-GGA).

Values from the calculation:
The value obtained for the formation enthalpy at 0 K is -0.07 eV/f.u. The value obtained for the mass density is 12.6 g cm⁻³.

Cell: 4.542 4.542 5.306 Å, 90.00 90.00 90.00°
Space group P4/mmm (No. 123)
One atom of each set of equivalent atoms:
Nd: 0.000 0.000 0.000
Pu: 0.000 0.500 0.500
Hg: 0.500 0.500 0.000

***

Record 9
Entry from Alexandria via LeMat-Bulk: DyTePd2 after structural relaxation (PBE-GGA).

Values from the calculation:
The value obtained for the mass density is 10.2 g cm⁻³. The total energy comes out at -5.264 eV per atom.

Cell: 6.885 6.885 6.885 Å, 90.00 90.00 90.00°
Space group Fm-3m (No. 225)
One atom of each set of equivalent atoms:
Dy: 0.000 0.000 0.000
Te: 0.000 0.000 0.500
Pd: 0.250 0.250 0.250

***

Record 10
Entry from Alexandria via LeMat-Bulk: BiB3C after structural relaxation (PBE-GGA).

Values from the calculation:
The value obtained for the formation enthalpy at 0 K is 18.80 eV/f.u. The value obtained for the mass density is 4.0 g cm⁻³.

Cell: 4.736 4.736 4.736 Å, 90.00 90.00 90.00°
Space group Pm-3m (No. 221)
One atom of each set of equivalent atoms:
Bi: 0.000 0.000 0.000
B: 0.000 0.000 0.500
C: 0.500 0.500 0.500

***

Record 11
Entry from Alexandria via LeMat-Bulk: Pu2HgIr after structural relaxation (PBE-GGA).

Values from the calculation:
The value obtained for the formation enthalpy at 0 K is -0.13 eV/f.u. The value obtained for the mass density is 11.3 g cm⁻³.

Cell: 3.9295 3.9295 28.9318 Å, 90.00 90.00 120.00°
Space group R-3m (No. 166, hexagonal axes)
One atom of each set of equivalent atoms:
Pu: 0.0000 0.0000 0.1127
Hg: 0.0000 0.0000 0.0000
Ir: 0.0000 0.0000 0.5000

***

Record 12
Entry from Alexandria via LeMat-Bulk: K2AgBiBr6 after structural relaxation (PBE-GGA).

Values from the calculation:
The value obtained for the mass density is 4.0 g cm⁻³. The total energy comes out at -2.929 eV per atom.

Cell: 11.357 11.357 11.357 Å, 90.00 90.00 90.00°
Space group Fm-3m (No. 225)
One atom of each set of equivalent atoms:
K: 0.250 0.250 0.250
Ag: 0.000 0.000 0.000
Bi: 0.000 0.000 0.500
Br: 0.000 0.000 0.248

***

Number 1: size of the total moment 0.0 μB/cell. Number 2: size of the total moment 0.0 μB/cell. Number 3: size of the total moment 0.0 μB/cell. Number 4: size of the total moment 0.0 μB/cell. Number 5: size of the total moment 2.6 μB/cell. Number 6: size of the total moment 0.0 μB/cell. Number 7: size of the total moment 0.0 μB/cell. Number 8: size of the total moment 12.6 μB/cell. Number 9: size of the total moment 0.0 μB/cell. Number 10: size of the total moment 1.2 μB/cell. Number 11: size of the total moment 33.5 μB/cell. Number 12: size of the total moment 0.0 μB/cell.